Density functional theory data (PBEsol) for crystalline Cu2AgRu at its relaxed geometry.

Computed properties:
Volume = 53.2 Å³ per cell
Energy relative to the elements = 464.2 meV per atom
Total energy = -20.29 eV per cell
Energy above the most stable polymorph in this dataset = 0.45 eV per formula unit

Unit cell a=3.737 b=3.737 c=4.637 alpha=113.77 beta=113.77 gamma=90.00
Site moments in Bohr magnetons follow the coordinates.
Positions (direct):
Ag: 0.250 0.750 0.500  0.05
Cu: 0.000 0.000 0.000  0.04
Cu: 0.750 0.250 0.500  0.07
Ru: 0.500 0.500 0.000  0.67

Density functional theory data (PBEsol) for crystalline Cu2AgRu at its relaxed geometry.

Computed properties:
Volume = 53.0 Å³ per cell
Energy relative to the elements = 350.7 meV per atom
Total energy = -20.75 eV per cell
Energy above the most stable polymorph in this dataset = 0.00 eV per formula unit

Unit cell a=2.586 b=4.502 c=5.238 alpha=115.45 beta=104.29 gamma=90.00
Positions (direct):
Ag: 0.740 0.240 0.481
Cu: 0.987 0.987 0.974
Cu: 0.259 0.759 0.518
Ru: 0.514 0.514 0.028

Density functional theory data (PBEsol) for crystalline CuAgRu2 at its relaxed geometry.

Computed properties:
Volume = 54.8 Å³ per cell
Energy relative to the elements = 740.2 meV per atom
Total energy = -25.03 eV per cell
Energy above the most stable polymorph in this dataset = 1.41 eV per formula unit

Unit cell a=4.264 b=4.264 c=4.264 alpha=60.00 beta=60.00 gamma=60.00
Positions (direct):
Ag: 0.000 0.000 0.000
Cu: 0.500 0.500 0.500
Ru: 0.250 0.250 0.250
Ru: 0.750 0.750 0.750

- What is the formula in the first record?
  Cu2AgRu

- What is the energy above the most stable polymorph in this dataset in the first record?
  0.45 eV per formula unit

- Which value of volume does entry 1 give?
  53.2 Å³ per cell